[1]
Density functional theory data (PBE) for a geometry-optimized Tb8Al2Zn structure.

Magnetic moment ... 0.0 μB/f.u.
Symmetry ... C2/m
Density ... 7.6 Mg/m³
Formation enthalpy at 0 K ... -0.17 eV per atom

Cell: 9.505 9.505 6.725 Å, 103.08 103.08 31.17°
Fractional coordinates of all 11 atoms:
Tb1 0.021 0.021 0.271
Tb2 0.205 0.205 0.797
Tb3 0.344 0.344 0.534
Tb4 0.406 0.406 0.038
Tb5 0.594 0.594 0.962
Tb6 0.656 0.656 0.466
Tb7 0.795 0.795 0.203
Tb8 0.979 0.979 0.729
Al1 0.188 0.188 0.241
Al2 0.812 0.812 0.759
Zn1 0.500 0.500 0.500

---

[2]
Density functional theory data (PBE) for a geometry-optimized TbAlZn17 structure.

Magnetic moment ... 0.0 μB/f.u.
Symmetry ... R3m
Density ... 7.0 Mg/m³
Formation enthalpy at 0 K ... -0.09 eV per atom

Cell: 6.812 6.812 6.812 Å, 81.50 81.50 81.50°
Fractional coordinates of all 19 atoms:
Tb1 0.000 0.000 0.000
Al1 0.747 0.747 0.747
Zn1 0.006 0.351 0.645
Zn2 0.006 0.645 0.351
Zn3 0.179 0.682 0.682
Zn4 0.240 0.240 0.240
Zn5 0.322 0.322 0.833
Zn6 0.322 0.833 0.322
Zn7 0.351 0.006 0.645
Zn8 0.351 0.645 0.006
Zn9 0.435 0.435 0.435
Zn10 0.501 0.997 0.997
Zn11 0.645 0.006 0.351
Zn12 0.645 0.351 0.006
Zn13 0.682 0.179 0.682
Zn14 0.682 0.682 0.179
Zn15 0.833 0.322 0.322
Zn16 0.997 0.501 0.997
Zn17 0.997 0.997 0.501

---

[3]
Density functional theory data (PBE) for a geometry-optimized Tb2AlZn7 structure.

Magnetic moment ... 0.0 μB/f.u.
Symmetry ... P-4m2
Density ... 7.3 Mg/m³
Formation enthalpy at 0 K ... -0.33 eV per atom

Cell: 4.131 4.131 10.768 Å, 90.00 90.00 90.00°
Fractional coordinates of all 10 atoms:
Tb1 0.000 0.500 0.250
Tb2 0.500 0.000 0.750
Al1 0.000 0.000 0.500
Zn1 0.000 0.000 0.000
Zn2 0.000 0.500 0.639
Zn3 0.000 0.500 0.864
Zn4 0.500 0.000 0.136
Zn5 0.500 0.000 0.361
Zn6 0.500 0.500 0.000
Zn7 0.500 0.500 0.500

---

[4]
Density functional theory data (PBE) for a geometry-optimized Tb2Al5Zn3 structure.

Magnetic moment ... 0.0 μB/f.u.
Symmetry ... Ibam
Density ... 5.7 Mg/m³
Formation enthalpy at 0 K ... -0.37 eV per atom

Cell: 8.550 8.550 8.550 Å, 100.23 93.31 139.87°
Fractional coordinates of all 20 atoms:
Tb1 0.127 0.250 0.377
Tb2 0.373 0.750 0.123
Tb3 0.627 0.250 0.877
Tb4 0.873 0.750 0.623
Al1 0.004 0.250 0.754
Al2 0.121 0.640 0.761
Al3 0.250 0.250 0.000
Al4 0.379 0.140 0.519
Al5 0.496 0.250 0.246
Al6 0.504 0.750 0.754
Al7 0.621 0.860 0.481
Al8 0.750 0.750 0.000
Al9 0.879 0.360 0.239
Al10 0.996 0.750 0.246
Zn1 0.123 0.860 0.983
Zn2 0.250 0.750 0.500
Zn3 0.377 0.360 0.737
Zn4 0.623 0.640 0.263
Zn5 0.750 0.250 0.500
Zn6 0.877 0.140 0.017

---

[5]
Density functional theory data (PBE) for a geometry-optimized TbAl2Zn9 structure.

Energy above the lowest structure with this stoichiometry ... 122 meV/atom
Magnetic moment ... 0.0 μB/f.u.
Symmetry ... P6/mmm
Density ... 6.4 Mg/m³
Formation enthalpy at 0 K ... -0.02 eV per atom

Cell: 8.582 8.582 3.270 Å, 90.00 90.00 120.00°
Fractional coordinates of all 12 atoms:
Tb1 0.000 0.000 0.000
Al1 0.333 0.667 0.000
Al2 0.667 0.333 0.000
Zn1 0.000 0.500 0.000
Zn2 0.181 0.363 0.500
Zn3 0.181 0.819 0.500
Zn4 0.363 0.181 0.500
Zn5 0.500 0.000 0.000
Zn6 0.500 0.500 0.000
Zn7 0.637 0.819 0.500
Zn8 0.819 0.181 0.500
Zn9 0.819 0.637 0.500

---

[6]
Density functional theory data (PBE) for a geometry-optimized Tb3Al3Zn structure.

Magnetic moment ... 0.0 μB/f.u.
Symmetry ... C2/m
Density ... 6.3 Mg/m³
Formation enthalpy at 0 K ... -0.41 eV per atom

Cell: 5.873 5.873 14.372 Å, 107.97 107.97 44.90°
Fractional coordinates of all 14 atoms:
Tb1 0.041 0.041 0.383
Tb2 0.099 0.099 0.919
Tb3 0.245 0.245 0.221
Tb4 0.755 0.755 0.779
Tb5 0.901 0.901 0.081
Tb6 0.959 0.959 0.617
Al1 0.368 0.368 0.455
Al2 0.390 0.390 0.926
Al3 0.459 0.459 0.765
Al4 0.541 0.541 0.235
Al5 0.610 0.610 0.074
Al6 0.632 0.632 0.545
Zn1 0.251 0.251 0.607
Zn2 0.749 0.749 0.393

---

| no. | Fermi-level density of states (states/eV/atom) |
| --- | --- |
| 1 | 0.98 |
| 2 | 0.27 |
| 3 | 0.60 |
| 4 | 0.24 |
| 5 | 0.32 |
| 6 | 0.75 |